## K4LaAg (PBE)

Data for an optimized crystal structure of K4LaAg.

The structure belongs to space group F-43m (No. 216); the cell edges are 10.651, 10.651 and 10.651 Å and the angles 90.00°, 90.00° and 90.00°. The distinct sites, in fractional coordinates, are K at (0.124, 0.124, 0.376), La at (0.000, 0.000, 0.000) and Ag at (0.250, 0.250, 0.750).

For the total magnetization, the calculation gives 2.0 μB per formula unit. The calculation puts the total DFT energy (no corrections) at -34.64 eV per cell. The formation energy from the elements comes out at 0.585 eV/atom.